The following is a DFT calculation (GGA-PBE) of a geometry-optimized Nd4SiGe structure.

a = 6.422 Å, b = 6.546 Å, c = 8.786 Å
α = 90.00°, β = 110.00°, γ = 90.00°
Element x y z (fractional)
Nd: 0.001 0.000 0.255
Nd: 0.001 0.500 0.255
Nd: 0.413 0.250 0.103
Nd: 0.417 0.250 0.604
Nd: 0.583 0.750 0.396
Nd: 0.587 0.750 0.897
Nd: 0.999 0.000 0.745
Nd: 0.999 0.500 0.745
Si: 0.249 0.750 0.563
Si: 0.751 0.250 0.437
Ge: 0.238 0.750 0.059
Ge: 0.762 0.250 0.941

## Properties
Formation energy from raw total energies in meV per atom: -534
Total DFT energy (no corrections) in eV per atom: -5.3864

***

The following is a DFT calculation (GGA-PBE) of a geometry-optimized ZnCu structure.

a = 8.407 Å, b = 7.449 Å, c = 5.076 Å
α = 90.00°, β = 90.00°, γ = 90.00°
Element x y z (fractional)
Zn: 0.107 0.058 0.250
Zn: 0.107 0.442 0.750
Zn: 0.356 0.601 0.250
Zn: 0.356 0.899 0.750
Zn: 0.381 0.250 0.000
Zn: 0.381 0.250 0.500
Zn: 0.619 0.750 0.000
Zn: 0.619 0.750 0.500
Zn: 0.644 0.101 0.250
Zn: 0.644 0.399 0.750
Zn: 0.893 0.558 0.250
Zn: 0.893 0.942 0.750
Cu: 0.121 0.750 0.000
Cu: 0.121 0.750 0.500
Cu: 0.136 0.117 0.750
Cu: 0.136 0.383 0.250
Cu: 0.382 0.565 0.750
Cu: 0.382 0.935 0.250
Cu: 0.618 0.065 0.750
Cu: 0.618 0.435 0.250
Cu: 0.864 0.617 0.750
Cu: 0.864 0.883 0.250
Cu: 0.879 0.250 0.000
Cu: 0.879 0.250 0.500

## Properties
Total DFT energy (no corrections) in eV per atom: -2.7280
DFT formation energy in eV per atom: -0.043

***

The following is a DFT calculation (GGA-PBE) of a geometry-optimized RbPtF structure.

a = 7.497 Å, b = 7.497 Å, c = 4.066 Å
α = 102.30°, β = 102.30°, γ = 42.36°
Element x y z (fractional)
Rb: 0.155 0.155 0.294
Rb: 0.845 0.845 0.706
Pt: 0.451 0.451 0.217
Pt: 0.549 0.549 0.783
F: 0.303 0.303 0.904
F: 0.697 0.697 0.096

## Properties
Formation energy from raw total energies in meV per atom: -1149
Total DFT energy (no corrections) in eV per atom: -4.1085